# PBE-GGA YCo2SiP, relaxed
data_YCo2SiP
_chemical_formula_sum 'Y1 Co2 Si1 P1'
_cell_length_a 5.481
_cell_length_b 5.481
_cell_length_c 5.481
_cell_angle_alpha 138.89
_cell_angle_beta 138.89
_cell_angle_gamma 59.55
_space_group_name_H-M_alt 'P 1'
_space_group_IT_number 1
loop_
_space_group_symop_operation_xyz
'x,y,z'
loop_
_atom_site_label
_atom_site_type_symbol
_atom_site_fract_x
_atom_site_fract_y
_atom_site_fract_z
Y1 Y 0.000 0.000 0.000
Co1 Co 0.254 0.754 0.500
Co2 Co 0.754 0.254 0.500
Si1 Si 0.628 0.628 0.000
P1 P 0.374 0.374 0.000
# Total energy ... -36.2 eV per cell
# Total moment ... 0.673 μB per formula unit



# PBE-GGA LuZr2Bi, relaxed
data_LuZr2Bi
_chemical_formula_sum 'Lu1 Zr2 Bi1'
_cell_length_a 5.160
_cell_length_b 5.160
_cell_length_c 5.160
_cell_angle_alpha 60.00
_cell_angle_beta 60.00
_cell_angle_gamma 60.00
_space_group_name_H-M_alt 'P 1'
_space_group_IT_number 1
loop_
_space_group_symop_operation_xyz
'x,y,z'
loop_
_atom_site_label
_atom_site_type_symbol
_atom_site_fract_x
_atom_site_fract_y
_atom_site_fract_z
Lu1 Lu 0.000 0.000 0.000
Zr1 Zr 0.250 0.250 0.250
Zr2 Zr 0.500 0.500 0.500
Bi1 Bi 0.750 0.750 0.750
# Total energy ... -25.7 eV per cell
# Total moment ... 1.501 μB per formula unit



# PBE-GGA LiHfAgS3, relaxed
data_LiHfAgS3
_chemical_formula_sum 'Li2 Hf2 Ag2 S6'
_cell_length_a 7.904
_cell_length_b 3.655
_cell_length_c 8.495
_cell_angle_alpha 90.00
_cell_angle_beta 100.09
_cell_angle_gamma 90.00
_space_group_name_H-M_alt 'P 1'
_space_group_IT_number 1
loop_
_space_group_symop_operation_xyz
'x,y,z'
loop_
_atom_site_label
_atom_site_type_symbol
_atom_site_fract_x
_atom_site_fract_y
_atom_site_fract_z
Li1 Li 0.131 0.250 0.127
Li2 Li 0.869 0.750 0.873
Hf1 Hf 0.176 0.750 0.654
Hf2 Hf 0.824 0.250 0.346
Ag1 Ag 0.487 0.250 0.873
Ag2 Ag 0.513 0.750 0.127
S1 S 0.059 0.750 0.342
S2 S 0.220 0.750 0.957
S3 S 0.367 0.250 0.590
S4 S 0.633 0.750 0.410
S5 S 0.780 0.250 0.043
S6 S 0.941 0.250 0.658
# Total energy ... -67.4 eV per cell
# Relative energy among the computed polymorphs ... 0 meV/atom
# Total moment ... 0.001 μB per formula unit



# PBE-GGA Gd2Hg2O5, relaxed
data_Gd2Hg2O5
_chemical_formula_sum 'Gd2 Hg2 O5'
_cell_length_a 4.115
_cell_length_b 4.115
_cell_length_c 8.884
_cell_angle_alpha 90.00
_cell_angle_beta 90.00
_cell_angle_gamma 90.00
_space_group_name_H-M_alt 'P 1'
_space_group_IT_number 1
loop_
_space_group_symop_operation_xyz
'x,y,z'
loop_
_atom_site_label
_atom_site_type_symbol
_atom_site_fract_x
_atom_site_fract_y
_atom_site_fract_z
Gd1 Gd 0.000 0.000 0.249
Gd2 Gd 0.000 0.000 0.751
Hg1 Hg 0.500 0.500 0.000
Hg2 Hg 0.500 0.500 0.500
O1 O 0.000 0.000 0.000
O2 O 0.000 0.500 0.340
O3 O 0.000 0.500 0.660
O4 O 0.500 0.000 0.340
O5 O 0.500 0.000 0.660
# Total energy ... -49.9 eV per cell
# Relative energy among the computed polymorphs ... 0 meV/atom
# Total moment ... 1.084 μB per formula unit